1.
# CsAgTe2WSe

CsAgTe2WSe after structural relaxation (PBE, OQMD). Values from VASP.

Quantum ESPRESSO input file:
```
&SYSTEM
  ibrav = 0, nat = 12, ntyp = 5
/
ATOMIC_SPECIES
Te 127.60 Te.upf
Se 78.96 Se.upf
Ag 107.87 Ag.upf
W 183.84 W.upf
Cs 132.91 Cs.upf
ATOMIC_POSITIONS angstrom
Te 2.0982 -6.6351 5.4676
Se 2.0982 -0.9640 7.8579
Ag 2.0982 -7.8911 7.8579
W 2.0982 0.0000 0.0000
Te 2.0982 6.6351 5.0096
Ag 2.0982 7.8911 2.6193
W 2.0982 0.0000 5.2386
Cs 2.0982 4.1342 7.8579
Te 2.0982 6.6351 0.2290
Se 2.0982 0.9640 2.6193
Te 2.0982 -6.6351 10.2482
Cs 2.0982 -4.1342 2.6193
CELL_PARAMETERS angstrom
2.0982 -8.5228 0.0000
2.0982 8.5228 0.0000
0.0000 0.0000 10.4772
```

Summary:
The value obtained for the total moment is 2.00 μB per formula unit. The calculation puts the total energy at -0.16633 hartree per atom. As for the space-group type: Cmcm.

---

2.
# CsZrAgTeSe2

CsZrAgTeSe2 after structural relaxation (PBE, OQMD). Values from VASP.

Quantum ESPRESSO input file:
```
&SYSTEM
  ibrav = 0, nat = 12, ntyp = 5
/
ATOMIC_SPECIES
Zr 91.22 Zr.upf
Ag 107.87 Ag.upf
Se 78.96 Se.upf
Cs 132.91 Cs.upf
Te 127.60 Te.upf
ATOMIC_POSITIONS angstrom
Zr 0.0000 0.0000 5.4818
Ag 2.0281 0.6125 2.7409
Se 2.0281 1.8284 5.0379
Zr 0.0000 0.0000 0.0000
Cs 2.0281 -4.4995 2.7409
Se 2.0281 -1.8284 10.5197
Se 2.0281 -1.8284 5.9256
Ag 2.0281 -0.6125 8.2227
Te 2.0281 7.1823 2.7409
Te 2.0281 -7.1823 8.2227
Cs 2.0281 4.4995 8.2227
Se 2.0281 1.8284 0.4438
CELL_PARAMETERS angstrom
2.0281 -8.4527 0.0000
2.0281 8.4527 0.0000
0.0000 0.0000 10.9635
```

Summary:
The value obtained for the total moment is 0.00 μB per formula unit. The calculation puts the total energy at -0.17213 hartree per atom. As for the space-group type: Cmcm.

---

Question: Which of these has the highest total energy?
Answer: CsAgTe2WSe